Record 1
The following is a GGA-PBE calculation of PmPrPd after structural relaxation, from Alexandria.

a b c (Å): 5.1928 5.1731 6.8036
angles (deg): 112.39 89.99 90.00
Site moments in Bohr magnetons follow the coordinates.
Atoms (fractional coordinates):
Pd 0.2511 0.2443 0.4873  0.01
Pd 0.7489 0.7557 0.5127  0.01
Pr 0.2498 0.8954 0.7912  0.09
Pr 0.7502 0.1046 0.2088  0.09
Pm 0.2496 0.6188 0.2373  0.07
Pm 0.7504 0.3812 0.7627  0.07

- DFT formation energy (meV per atom) = -447
- excess energy over the best structure of this formula in the dataset (eV per atom) = 0.021
- symmetry = C2/m
- calculated volume (Å³/cell) = 169.0

***

Record 2
The following is a GGA-PBE calculation of Ac4HIr2 after structural relaxation, from Alexandria.

a b c (Å): 5.0780 5.0780 8.4898
angles (deg): 107.40 107.40 90.00
Atoms (fractional coordinates):
Ir 0.3758 0.3758 0.7516
Ir 0.6242 0.6242 0.2484
Ac 0.0000 0.5000 0.0000
Ac 0.5000 0.0000 0.0000
Ac 0.1934 0.1934 0.3867
Ac 0.8066 0.8066 0.6133
H 0.0000 0.0000 0.0000

- excess energy over the best structure of this formula in the dataset (eV per atom) = 0.184
- symmetry = I4/mmm
- calculated volume (Å³/cell) = 198.4

***

Record 3
The following is a GGA-PBE calculation of ScCo3As after structural relaxation, from Alexandria.

a b c (Å): 4.4184 4.4184 4.4184
angles (deg): 90.00 90.00 90.00
Site moments in Bohr magnetons follow the coordinates.
Atoms (fractional coordinates):
As 0.5000 0.5000 0.5000  0.02
Sc 0.0000 0.0000 0.0000  -0.29
Co 0.0000 0.5000 0.0000  1.07
Co 0.0000 0.0000 0.5000  1.09
Co 0.5000 0.0000 0.0000  0.87

- DFT formation energy (meV per atom) = 1319
- excess energy over the best structure of this formula in the dataset (eV per atom) = 1.156
- symmetry = Pm-3m
- calculated volume (Å³/cell) = 86.3

***

Record 4
The following is a GGA-PBE calculation of La2IrCl after structural relaxation, from Alexandria.

a b c (Å): 6.5232 6.5232 8.1273
angles (deg): 66.34 66.34 90.00
Atoms (fractional coordinates):
La 0.0925 0.6250 0.2500
La 0.3750 0.3425 0.7500
La 0.6575 0.1250 0.2500
La 0.8750 0.9075 0.7500
Ir 0.7500 0.2500 0.5000
Ir 0.0000 0.0000 0.0000
Cl 0.2500 0.7500 0.5000
Cl 0.5000 0.5000 0.0000

- excess energy over the best structure of this formula in the dataset (eV per atom) = 0.433
- symmetry = I-42d
- formation energy without anion corrections (eV/atom) = -0.90
- calculated volume (Å³/cell) = 284.7

***

Record 5
The following is a GGA-PBE calculation of Ni2PtBr after structural relaxation, from Alexandria.

a b c (Å): 9.2087 9.2087 9.2087
angles (deg): 17.92 17.92 17.92
Site moments in Bohr magnetons follow the coordinates.
Atoms (fractional coordinates):
Pt 0.5193 0.5193 0.5193  0.21
Ni 0.9921 0.9921 0.9921  0.53
Ni 0.2599 0.2599 0.2599  0.84
Br 0.7287 0.7287 0.7287  0.03

- excess energy over the best structure of this formula in the dataset (eV per atom) = 0.209
- symmetry = R3m
- formation energy without anion corrections (eV/atom) = 0.42
- calculated volume (Å³/cell) = 64.6

***

Record 6
The following is a GGA-PBE calculation of NaFePd2N after structural relaxation, from Alexandria.

a b c (Å): 4.4182 4.4182 3.6347
angles (deg): 90.00 90.00 90.00
Site moments in Bohr magnetons follow the coordinates.
Atoms (fractional coordinates):
Pd 0.0000 0.5000 0.0000  0.05
Pd 0.5000 0.0000 0.0000  0.05
Fe 0.0000 0.0000 0.5000  2.13
N 0.0000 0.0000 0.0000  -0.03
Na 0.5000 0.5000 0.5000  0.00

- symmetry = P4/mmm
- formation energy without anion corrections (eV/atom) = 0.08
- calculated volume (Å³/cell) = 71.0

***

Record 7
The following is a GGA-PBE calculation of Pm3InAu2 after structural relaxation, from Alexandria.

a b c (Å): 3.6767 3.6767 11.6607
angles (deg): 90.00 90.00 90.00
Atoms (fractional coordinates):
Pm 0.0000 0.0000 0.0000
Pm 0.0000 0.0000 0.6814
Pm 0.0000 0.0000 0.3186
In 0.5000 0.5000 0.5000
Au 0.5000 0.5000 0.1616
Au 0.5000 0.5000 0.8384

- DFT formation energy (meV per atom) = -684
- symmetry = P4/mmm
- calculated volume (Å³/cell) = 157.6

***

Record 8
The following is a GGA-PBE calculation of Rb2MgTl after structural relaxation, from Alexandria.

a b c (Å): 10.4700 10.4700 8.2100
angles (deg): 50.38 50.38 90.00
Atoms (fractional coordinates):
Tl 0.7500 0.2500 0.5000
Tl 0.0000 0.0000 0.0000
Rb 0.6368 0.1250 0.2500
Rb 0.1132 0.6250 0.2500
Rb 0.8750 0.8868 0.7500
Rb 0.3750 0.3632 0.7500
Mg 0.5000 0.5000 0.0000
Mg 0.2500 0.7500 0.5000

- DFT formation energy (meV per atom) = 254
- excess energy over the best structure of this formula in the dataset (eV per atom) = 0.042
- symmetry = I-42d
- calculated volume (Å³/cell) = 389.0

***

Record 9
The following is a GGA-PBE calculation of MgMo2Os after structural relaxation, from Alexandria.

a b c (Å): 5.2923 5.2923 5.2923
angles (deg): 145.69 131.07 61.12
Atoms (fractional coordinates):
Mg 0.2500 0.7500 0.5000
Mo 0.9880 0.9880 0.0000
Mo 0.5120 0.5120 0.0000
Os 0.7500 0.2500 0.5000

- DFT formation energy (meV per atom) = 126
- symmetry = Immm
- calculated volume (Å³/cell) = 62.4

***

Record 10
The following is a GGA-PBE calculation of AcNdPd after structural relaxation, from Alexandria.

a b c (Å): 5.1996 5.1996 5.1996
angles (deg): 60.00 60.00 60.00
Atoms (fractional coordinates):
Nd 0.5000 0.5000 0.5000
Ac 0.0000 0.0000 0.0000
Pd 0.2500 0.2500 0.2500

- DFT formation energy (meV per atom) = -341
- excess energy over the best structure of this formula in the dataset (eV per atom) = 0.095
- symmetry = F-43m
- calculated volume (Å³/cell) = 99.4

***

Record 11
The following is a GGA-PBE calculation of CeNdSm2N4 after structural relaxation, from Alexandria.

a b c (Å): 3.5986 6.2195 6.2130
angles (deg): 109.32 90.00 90.00
Atoms (fractional coordinates):
N 0.5000 0.7588 0.7556
N 0.0000 0.2412 0.7527
N 0.0000 0.7588 0.2473
N 0.5000 0.2412 0.2444
Ce 0.0000 0.0000 0.0000
Sm 0.5000 0.0000 0.5000
Sm 0.0000 0.5000 0.5000
Nd 0.5000 0.5000 0.0000

- symmetry = P2/m
- formation energy without anion corrections (eV/atom) = -1.47
- calculated volume (Å³/cell) = 131.2

***

Record 12
The following is a GGA-PBE calculation of Na3Cd2SbS6 after structural relaxation, from Alexandria.

a b c (Å): 6.7290 6.7290 7.0367
angles (deg): 99.30 99.30 119.89
Atoms (fractional coordinates):
Na 0.1653 0.8347 0.5000
Na 0.5000 0.5000 0.5000
Na 0.8347 0.1653 0.5000
S 0.9274 0.6155 0.7784
S 0.7615 0.7615 0.2161
S 0.6155 0.9274 0.7784
S 0.3845 0.0726 0.2216
S 0.0726 0.3845 0.2216
S 0.2385 0.2385 0.7839
Sb 0.0000 0.0000 0.0000
Cd 0.6670 0.3330 0.0000
Cd 0.3330 0.6670 0.0000

- symmetry = C2/m
- formation energy without anion corrections (eV/atom) = -0.69
- calculated volume (Å³/cell) = 261.4

***

Number 1: total energy -32.13 eV per cell. Number 2: total energy -40.19 eV per cell. Number 3: total energy -25.70 eV per cell. Number 4: total energy -48.36 eV per cell. Number 5: total energy -17.61 eV per cell. Number 6: total energy -28.10 eV per cell. Number 7: total energy -27.65 eV per cell. Number 8: total energy -9.76 eV per cell. Number 9: total energy -33.98 eV per cell. Number 10: total energy -15.09 eV per cell. Number 11: total energy -65.21 eV per cell. Number 12: total energy -42.98 eV per cell.